DFT (PBE-GGA) results for a relaxed structure of FeHg2Pt.

Cell lengths 5.005, 5.005, 2.945 Å; angles 90.00, 90.00, 106.23 degrees
Each line ends with the local moment (μB).
Element x y z (fractional)
Fe1 0.000 0.500 0.500  2.81
Pt1 0.500 0.000 0.500  -0.03
Hg1 0.000 0.000 0.000  -0.04
Hg2 0.500 0.500 0.000  -0.04

DFT formation energy ... 0.32 eV per atom

***

DFT (PBE-GGA) results for a relaxed structure of Y3Mo.

Cell lengths 4.704, 4.704, 4.704 Å; angles 90.00, 90.00, 90.00 degrees
Element x y z (fractional)
Mo1 0.000 0.000 0.000
Y1 0.000 0.500 0.500
Y2 0.500 0.000 0.500
Y3 0.500 0.500 0.000

Energy above the lowest structure with this stoichiometry ... 209 meV/atom
DFT formation energy ... 0.38 eV per atom

***

DFT (PBE-GGA) results for a relaxed structure of YMnPtAu.

Cell lengths 4.785, 4.785, 4.785 Å; angles 60.00, 60.00, 60.00 degrees
Each line ends with the local moment (μB).
Element x y z (fractional)
Y1 0.500 0.500 0.500  -0.01
Mn1 0.000 0.000 0.000  4.04
Pt1 0.750 0.750 0.750  0.15
Au1 0.250 0.250 0.250  0.03

DFT formation energy ... -0.58 eV per atom

***

DFT (PBE-GGA) results for a relaxed structure of NaZr3Ir.

Cell lengths 4.814, 4.814, 4.814 Å; angles 90.00, 90.00, 90.00 degrees
Element x y z (fractional)
Na1 0.000 0.000 0.000
Ir1 0.500 0.500 0.500
Zr1 0.000 0.500 0.000
Zr2 0.000 0.000 0.500
Zr3 0.500 0.000 0.000

Energy above the lowest structure with this stoichiometry ... 1363 meV/atom
DFT formation energy ... 1.62 eV per atom